# 1
A plane-wave DFT calculation with PBEsol was carried out for an optimized crystal structure of BeSi2O.

Properties
formation energy (no corrections)	-0.20	eV per atom
raw total energy	-43.1	eV/cell
ρ	2.586	g cm⁻³

```
BeSi2O
1.0
4.598 0.000 0.000
0.000 4.598 0.000
-2.299 -2.299 4.933
Be Si O
2 4 2
Direct
0.750 0.250 0.500
0.500 0.500 0.000
0.905 0.375 0.250
0.345 0.875 0.250
0.625 0.655 0.750
0.125 0.095 0.750
0.250 0.750 0.500
0.000 0.000 0.000
```


# 2
A plane-wave DFT calculation with PBEsol was carried out for an optimized crystal structure of Hg3Ir.

Properties
raw total energy	-10.0	eV/cell
ρ	16.999	g cm⁻³
energy above the lowest structure with this stoichiometry	0	meV per atom

```
Hg3Ir
1.0
-2.645 -1.079 0.927
1.375 -2.440 1.085
1.041 3.950 7.566
Hg Ir
3 1
Direct
0.000 0.000 0.716
0.000 0.000 0.284
0.500 0.500 0.000
0.500 0.500 0.500
```


# 3
A plane-wave DFT calculation with PBEsol was carried out for an optimized crystal structure of Nb2AlHgAu.

Properties
raw total energy	-24.6	eV/cell
ρ	9.851	g cm⁻³

```
Nb2AlHgAu
1.0
-1.201 2.491 -3.706
-3.879 -2.635 -0.514
-2.389 2.975 2.773
Nb Au Hg Al
2 1 1 1
Direct
0.000 0.000 0.500
0.000 0.500 0.000
0.500 0.500 0.500
0.500 0.000 0.000
0.000 0.000 0.000
```


# 4
A plane-wave DFT calculation with PBEsol was carried out for an optimized crystal structure of BaSi2Se.

Properties
formation energy (no corrections)	-0.39	eV per atom
raw total energy	-19.0	eV/cell
ρ	4.324	g cm⁻³
energy above the lowest structure with this stoichiometry	0	meV per atom

```
BaSi2Se
1.0
3.984 0.000 -0.003
0.000 5.085 0.000
-0.278 0.000 5.164
Si Ba Se
2 1 1
Direct
0.769 0.000 0.630
0.231 0.000 0.370
0.500 0.500 0.000
0.000 0.500 0.500
```


# 5
A plane-wave DFT calculation with PBEsol was carried out for an optimized crystal structure of FeCo2Mo.

Properties
raw total energy	-35.9	eV/cell
ρ	9.865	g cm⁻³
energy above the lowest structure with this stoichiometry	118	meV per atom

```
FeCo2Mo
1.0
2.512 0.000 -0.405
0.000 3.495 0.000
-1.698 0.000 5.444
Co Fe Mo
2 1 1
Direct
0.017 0.000 0.017
0.756 0.500 0.256
0.475 0.000 0.475
0.253 0.500 0.753
```


# 6
A plane-wave DFT calculation with PBEsol was carried out for an optimized crystal structure of Ta5Mo3.

Properties
raw total energy	-99.1	eV/cell
ρ	14.926	g cm⁻³
energy above the lowest structure with this stoichiometry	0	meV per atom

```
Ta5Mo3
1.0
4.538 0.000 0.000
0.000 4.538 0.000
-2.269 -2.269 6.442
Mo Ta
3 5
Direct
0.752 0.752 0.504
0.500 0.500 0.000
0.248 0.248 0.496
0.627 0.127 0.255
0.373 0.873 0.745
0.127 0.627 0.255
0.000 0.000 0.000
0.873 0.373 0.745
```


# 7
A plane-wave DFT calculation with PBEsol was carried out for an optimized crystal structure of SrTc2As.

Properties
raw total energy	-26.8	eV/cell
ρ	8.275	g cm⁻³

```
SrTc2As
1.0
-2.262 -1.624 1.152
2.015 0.884 2.059
-4.526 7.240 1.319
Sr As Tc
1 1 2
Direct
0.500 0.500 0.000
0.500 0.500 0.500
0.000 0.000 0.297
0.000 0.000 0.703
```


# 8
A plane-wave DFT calculation with PBEsol was carried out for an optimized crystal structure of BW.

Properties
raw total energy	-43.3	eV/cell
ρ	15.715	g cm⁻³
energy above the lowest structure with this stoichiometry	14	meV per atom

```
BW
1.0
3.084 0.000 0.000
0.000 3.158 0.000
0.000 1.579 4.224
B W
2 2
Direct
0.750 0.562 0.877
0.250 0.438 0.123
0.750 0.855 0.289
0.250 0.145 0.711
```


# 9
A plane-wave DFT calculation with PBEsol was carried out for an optimized crystal structure of BaHfTeI2.

Properties
formation energy (no corrections)	-0.80	eV per atom
raw total energy	-23.7	eV/cell
ρ	6.640	g cm⁻³

```
BaHfTeI2
1.0
5.573 0.000 0.000
0.000 5.594 0.000
0.000 0.000 5.594
I Te Hf Ba
2 1 1 1
Direct
0.000 0.000 0.500
0.000 0.500 0.000
0.500 0.000 0.000
0.000 0.000 0.000
0.500 0.500 0.500
```


# 10
A plane-wave DFT calculation with PBEsol was carried out for an optimized crystal structure of Ta5Mo3.

Properties
raw total energy	-98.8	eV/cell
ρ	14.906	g cm⁻³
energy above the lowest structure with this stoichiometry	44	meV per atom

```
Ta5Mo3
1.0
-2.138 4.496 -1.859
-2.539 -2.302 4.061
4.488 2.025 2.630
Mo Ta
3 5
Direct
0.000 0.000 0.000
0.000 0.000 0.500
0.500 0.500 0.000
0.501 0.992 0.248
0.499 0.008 0.752
0.992 0.501 0.248
0.500 0.500 0.500
0.008 0.499 0.752
```


# 11
A plane-wave DFT calculation with PBEsol was carried out for an optimized crystal structure of YIrRu2.

Properties
raw total energy	-36.3	eV/cell
ρ	12.471	g cm⁻³
energy above the lowest structure with this stoichiometry	133	meV per atom

```
YIrRu2
1.0
2.851 0.000 0.000
0.000 2.851 0.000
0.000 0.000 7.916
Ir Ru Y
1 2 1
Direct
0.500 0.500 0.500
0.000 0.000 0.717
0.000 0.000 0.283
0.500 0.500 0.000
```


# 12
A plane-wave DFT calculation with PBEsol was carried out for an optimized crystal structure of LiTe2.

Properties
formation energy (no corrections)	-0.41	eV per atom
raw total energy	-10.2	eV/cell
ρ	5.660	g cm⁻³
energy above the lowest structure with this stoichiometry	25	meV per atom

```
LiTe2
1.0
-1.393 1.601 2.287
-1.005 -2.672 1.259
7.796 0.094 2.554
Te Li
2 1
Direct
0.135 0.135 0.270
0.865 0.865 0.730
0.500 0.500 0.000
```


# 13
A plane-wave DFT calculation with PBEsol was carried out for an optimized crystal structure of ZrNbOsSe2.

Properties
formation energy (no corrections)	1.27	eV per atom
raw total energy	-33.5	eV/cell
ρ	7.336	g cm⁻³

```
ZrNbOsSe2
1.0
4.765 0.000 0.000
0.000 4.765 0.000
0.000 0.000 5.307
Nb Os Se Zr
1 1 2 1
Direct
0.000 0.000 0.000
0.500 0.500 0.500
0.000 0.500 0.000
0.500 0.000 0.000
0.000 0.000 0.500
```


# 14
A plane-wave DFT calculation with PBEsol was carried out for an optimized crystal structure of Hg2PH.

Properties
raw total energy	-7.5	eV/cell
ρ	10.922	g cm⁻³

```
Hg2PH
1.0
-0.420 -1.121 -4.372
-1.269 -4.197 -1.152
-4.110 -0.720 -1.771
P Hg H
1 2 1
Direct
0.500 0.500 0.500
0.250 0.250 0.250
0.750 0.750 0.750
0.000 0.000 0.000
```